(1)
CrCuPb2Br, relaxed, DFT GGA-PBEsol; crystal system = tetragonal; space group = P4/mmm, No. 123; total magnetic moment = 4.8 μB/f.u.; formation energy (no corrections) = 50.66 kJ/mol of atoms; volume = 129.7 Å³ per cell
1.0
4.974 0.000 0.000
0.000 5.106 0.000
0.000 0.000 5.106
Pb Cr Cu Br
2 1 1 1
Cartesian
0.000 0.000 2.553
0.000 2.553 0.000
2.487 0.000 0.000
0.000 0.000 0.000
2.487 2.553 2.553

(2)
CrCuSe2Br, relaxed, DFT GGA-PBEsol; crystal system = tetragonal; space group = P4/mmm, No. 123; total magnetic moment = 3.7 μB/f.u.; formation energy (no corrections) = 50.62 kJ/mol of atoms; volume = 108.5 Å³ per cell
1.0
-2.414 1.092 -3.931
-2.369 -4.094 0.317
-3.384 2.166 2.680
Cr Cu Se Br
1 1 2 1
Cartesian
-4.083 -0.418 -0.467
0.000 0.000 0.000
-1.184 -2.047 0.159
-1.207 0.546 -1.965
-1.692 1.083 1.340